<a>
## PtRh5 (GGA-PBEsol)

Data for a relaxed PtRh5 crystal.

Lattice parameters (Å, degrees): 2.6936 4.3909 7.1159 90.00 100.91 90.00
Positions (direct):
Pt: 0.9997 0.0000 0.9994
Rh: 0.2221 0.5000 0.4442
Rh: 0.3314 0.0000 0.6628
Rh: 0.5569 0.5000 0.1139
Rh: 0.6689 0.0000 0.3378
Rh: 0.8876 0.5000 0.7753

Summary:
Crystal system: orthorhombic
Space-group type: Amm2
DOS at the Fermi energy (states/eV/cell): 9.89

---

<b>
## PtRh5 (GGA-PBEsol)

Data for a relaxed PtRh5 crystal.

Lattice parameters (Å, degrees): 2.6836 2.6836 11.4188 90.00 90.00 90.00
Positions (direct):
Pt: 0.5000 0.5000 0.0000
Rh: 0.0000 0.0000 0.8273
Rh: 0.0000 0.0000 0.1727
Rh: 0.5000 0.5000 0.6652
Rh: 0.5000 0.5000 0.3348
Rh: 0.0000 0.0000 0.5000

Summary:
Crystal system: tetragonal
Space-group type: P4/mmm
DOS at the Fermi energy (states/eV/cell): 7.66

---

In terms of stability, <b> leads; the second structure lies 55 meV/atom higher.

---

<a>
## RuPtRh (GGA-PBEsol)

Data for a relaxed RuPtRh crystal.

Lattice parameters (Å, degrees): 2.6910 3.8149 4.6736 114.09 106.73 90.00
Positions (direct):
Ru: 0.3304 0.3304 0.6608
Rh: 0.6712 0.6712 0.3425
Pt: 0.9984 0.9984 0.9967

Summary:
Crystal system: orthorhombic
Space-group type: Imm2
DOS at the Fermi energy (states/eV/cell): 2.98

---

<b>
## RuPtRh (GGA-PBEsol)

Data for a relaxed RuPtRh crystal.

Lattice parameters (Å, degrees): 2.6959 2.6959 6.6303 90.00 90.00 120.00
Positions (direct):
Ru: 0.3333 0.6667 0.3411
Rh: 0.6667 0.3333 0.6558
Pt: 0.0000 0.0000 0.0031

Summary:
Crystal system: trigonal
Space-group type: P3m1
DOS at the Fermi energy (states/eV/cell): 3.25

---

In terms of stability, <a> leads; the second structure lies 19 meV/atom higher.

---

<a>
## RuPtRh (GGA-PBEsol)

Data for a relaxed RuPtRh crystal.

Lattice parameters (Å, degrees): 2.6903 2.6903 6.0774 102.79 102.79 90.00
Positions (direct):
Ru: 0.6716 0.6716 0.3431
Rh: 0.3256 0.3256 0.6512
Pt: 0.0028 0.0028 0.0057

Summary:
Crystal system: tetragonal
Space-group type: I4mm
DOS at the Fermi energy (states/eV/cell): 2.60

---

<b>
## RuPtRh (GGA-PBEsol)

Data for a relaxed RuPtRh crystal.

Lattice parameters (Å, degrees): 4.1326 4.1326 4.1326 60.00 60.00 60.00
Positions (direct):
Pt: 0.2500 0.2500 0.2500
Rh: 0.0000 0.0000 0.0000
Ru: 0.5000 0.5000 0.5000

Summary:
Crystal system: cubic
Space-group type: F-43m
DOS at the Fermi energy (states/eV/cell): 4.16

---

<c>
## RuPtRh (GGA-PBEsol)

Data for a relaxed RuPtRh crystal.

Lattice parameters (Å, degrees): 2.6227 4.3334 4.3334 120.00 90.00 90.00
Positions (direct):
Pt: 0.8332 0.0000 0.0000
Rh: 0.8334 0.6667 0.3333
Ru: 0.3334 0.3333 0.6667

Summary:
Crystal system: hexagonal
Space-group type: P-6m2
DOS at the Fermi energy (states/eV/cell): 4.44

---

In terms of stability, <a> leads; the second structure lies 291 meV/atom higher.

---

<a>
## RuPtRh2 (GGA-PBEsol)

Data for a relaxed RuPtRh2 crystal.

Lattice parameters (Å, degrees): 2.6836 4.6658 4.6621 99.50 90.00 106.71
Positions (direct):
Ru: 0.5019 0.0038 0.5063
Rh: 0.9986 0.9973 0.9966
Rh: 0.2480 0.4961 0.7450
Pt: 0.7514 0.5028 0.2521

Summary:
Crystal system: monoclinic
Space-group type: Cm
DOS at the Fermi energy (states/eV/cell): 4.70

---

<b>
## RuPtRh2 (GGA-PBEsol)

Data for a relaxed RuPtRh2 crystal.

Lattice parameters (Å, degrees): 2.6872 2.6872 8.9599 81.38 81.38 60.00
Positions (direct):
Ru: 0.5000 0.5000 0.5000
Rh: 0.2467 0.2467 0.2600
Rh: 0.7533 0.7533 0.7400
Pt: 0.0000 0.0000 0.0000

Summary:
Crystal system: trigonal
Space-group type: R-3m
DOS at the Fermi energy (states/eV/cell): 3.92

---

In terms of stability, <b> leads; the second structure lies 30 meV/atom higher.

---

<a>
## RuPtRh2 (GGA-PBEsol)

Data for a relaxed RuPtRh2 crystal.

Lattice parameters (Å, degrees): 2.6853 3.8069 5.3870 90.00 90.00 90.00
Positions (direct):
Ru: 0.0000 0.0000 0.4935
Rh: 0.0000 0.0000 0.0040
Rh: 0.5000 0.5000 0.2551
Pt: 0.5000 0.5000 0.7475

Summary:
Crystal system: orthorhombic
Space-group type: Pmm2
DOS at the Fermi energy (states/eV/cell): 4.61

---

<b>
## RuPtRh2 (GGA-PBEsol)

Data for a relaxed RuPtRh2 crystal.

Lattice parameters (Å, degrees): 2.6868 4.6639 4.6639 109.49 90.00 90.00
Positions (direct):
Ru: 0.5000 0.0000 0.0000
Rh: 0.0000 0.5000 0.0000
Rh: 0.0000 0.0000 0.5000
Pt: 0.5000 0.5000 0.5000

Summary:
Crystal system: orthorhombic
Space-group type: Cmmm
DOS at the Fermi energy (states/eV/cell): 5.40

---

<c>
## RuPtRh2 (GGA-PBEsol)

Data for a relaxed RuPtRh2 crystal.

Lattice parameters (Å, degrees): 2.6813 4.6633 4.6680 99.51 90.00 106.71
Positions (direct):
Ru: 0.0000 0.0000 0.5000
Rh: 0.7467 0.4933 0.7423
Rh: 0.2533 0.5067 0.2577
Pt: 0.5000 0.0000 0.0000

Summary:
Crystal system: monoclinic
Space-group type: C2/m
DOS at the Fermi energy (states/eV/cell): 4.11

---

<d>
## RuPtRh2 (GGA-PBEsol)

Data for a relaxed RuPtRh2 crystal.

Lattice parameters (Å, degrees): 2.6854 2.6854 7.6381 90.00 90.00 90.00
Positions (direct):
Ru: 0.5000 0.5000 0.0000
Rh: 0.0000 0.0000 0.7608
Rh: 0.0000 0.0000 0.2392
Pt: 0.5000 0.5000 0.5000

Summary:
Crystal system: tetragonal
Space-group type: P4/mmm
DOS at the Fermi energy (states/eV/cell): 4.36

---

In terms of stability, <d> leads; the second structure lies 27 meV/atom higher.

---

<a>
## RuPtRh2 (GGA-PBEsol)

Data for a relaxed RuPtRh2 crystal.

Lattice parameters (Å, degrees): 3.7934 3.7934 4.6706 113.96 113.96 90.00
Positions (direct):
Ru: 0.5000 0.5000 0.0000
Rh: 0.0000 0.0000 0.0000
Rh: 0.7500 0.2500 0.5000
Pt: 0.2500 0.7500 0.5000

Summary:
Crystal system: tetragonal
Space-group type: I-4m2
DOS at the Fermi energy (states/eV/cell): 4.68

---

<b>
## RuPtRh2 (GGA-PBEsol)

Data for a relaxed RuPtRh2 crystal.

Lattice parameters (Å, degrees): 3.7977 3.7977 4.6659 114.01 114.01 90.00
Positions (direct):
Ru: 0.0000 0.0000 0.0000
Rh: 0.7500 0.2500 0.5000
Rh: 0.2500 0.7500 0.5000
Pt: 0.5000 0.5000 0.0000

Summary:
Crystal system: tetragonal
Space-group type: I4/mmm
DOS at the Fermi energy (states/eV/cell): 4.52

---

<c>
## RuPtRh2 (GGA-PBEsol)

Data for a relaxed RuPtRh2 crystal.

Lattice parameters (Å, degrees): 2.6869 2.6869 8.9436 81.36 81.36 60.00
Positions (direct):
Ru: 0.4977 0.4977 0.5068
Rh: 0.0018 0.0018 0.9946
Rh: 0.7514 0.7514 0.7458
Pt: 0.2491 0.2491 0.2528

Summary:
Crystal system: trigonal
Space-group type: R3m
DOS at the Fermi energy (states/eV/cell): 4.63

---

In terms of stability, <b> leads; the second structure lies 13 meV/atom higher.